Entry from Alexandria: a relaxed structure of LaCu2ReMo (PBE-GGA).

Cell and atoms, written as extended XYZ:
```
5
Lattice="4.7991 0.0000 0.0000 0.0000 4.7132 0.0000 0.0000 0.0000 4.7991" Properties=species:S:1:pos:R:3 pbc="T T T"
Re 0.0000 2.3566 0.0000
Mo 0.0000 0.0000 0.0000
Cu 0.0000 0.0000 2.3995
Cu 2.3995 0.0000 0.0000
La 2.3995 2.3566 2.3995
```

Values from the calculation:
* Fermi-level density of states: 6.63 states/eV/f.u.
* final energy: -32.4 eV for the cell shown
* ΔH_f (0 K): 3.98 eV per formula unit
* space group: P4/mmm (123)

***

Entry from Alexandria: a relaxed structure of La2CuSiMo (PBE-GGA).

Cell and atoms, written as extended XYZ:
```
5
Lattice="5.4646 0.0000 0.0000 0.0000 4.7438 0.0000 0.0000 0.0000 5.4646" Properties=species:S:1:pos:R:3 pbc="T T T"
Mo 0.0000 0.0000 0.0000
Si 0.0000 2.3719 0.0000
Cu 2.7323 2.3719 2.7323
La 0.0000 0.0000 2.7323
La 2.7323 0.0000 0.0000
```

Values from the calculation:
* ΔE_f (raw): 1.3 eV per formula unit
* Fermi-level density of states: 4.40 states/eV/f.u.
* final energy: -28.9 eV for the cell shown
* space group: P4/mmm (123)

***

Entry from Alexandria: a relaxed structure of LaZnCuMo2 (PBE-GGA).

Cell and atoms, written as extended XYZ:
```
5
Lattice="4.7690 0.0000 0.0000 0.0000 4.4783 0.0000 0.0000 0.0000 4.7690" Properties=species:S:1:pos:R:3 pbc="T T T"
Mo 0.0000 0.0000 2.3845
Mo 2.3845 0.0000 0.0000
Zn 0.0000 2.2391 0.0000
Cu 0.0000 0.0000 0.0000
La 2.3845 2.2391 2.3845
```

Values from the calculation:
* Fermi-level density of states: 7.82 states/eV/f.u.
* final energy: -27.6 eV for the cell shown
* ΔH_f (0 K): 4.40 eV per formula unit
* space group: P4/mmm (123)

***

Entry from Alexandria: a relaxed structure of La3CuN (PBE-GGA).

Cell and atoms, written as extended XYZ:
```
10
Lattice="-0.8250 -2.6537 4.3101 -5.4095 -3.2268 -3.0221 4.2759 -5.0327 -2.2802" Properties=species:S:1:pos:R:3 pbc="T T T"
La -1.1388 -5.8980 -0.7985
La 2.1261 -4.9508 0.4097
La 0.1943 -2.6214 -1.5768
La -2.5672 -2.9584 0.7381
La -0.3790 -6.7550 -4.2316
La -4.7041 -5.2334 -1.0717
Cu -2.5107 -4.2206 -3.0792
Cu 2.3099 -5.1368 -2.7206
N -0.2180 -3.9503 0.5770
N -0.7892 -8.0827 -2.0766
```

Values from the calculation:
* ΔE_f (raw): -2.8 eV per formula unit
* Fermi-level density of states: 4.53 states/eV/f.u.
* final energy: -60.0 eV for the cell shown
* energy above the most stable polymorph in this dataset: 0.0 meV/atom
* space group: Pmc2_1 (26)

***

Entry from Alexandria: a relaxed structure of La4Cu2N (PBE-GGA).

Cell and atoms, written as extended XYZ:
```
7
Lattice="5.0829 0.0000 0.0000 0.0000 5.0829 0.0000 2.5415 2.5415 7.1148" Properties=species:S:1:pos:R:3 pbc="T T T"
N 0.0000 0.0000 0.0000
Cu 5.0829 5.0829 5.4129
Cu 2.5415 2.5415 1.7020
La 5.0829 5.0829 2.5813
La 2.5415 2.5415 4.5336
La 0.0000 2.5415 0.0000
La 2.5415 0.0000 0.0000
```

Values from the calculation:
* ΔE_f (raw): -3.0 eV per formula unit
* Fermi-level density of states: 7.18 states/eV/f.u.
* final energy: -39.2 eV for the cell shown
* energy above the most stable polymorph in this dataset: 47.1 meV/atom
* space group: I4/mmm (139)

***

Entry from Alexandria: a relaxed structure of La4CuN (PBE-GGA).

Cell and atoms, written as extended XYZ:
```
12
Lattice="-2.2775 -0.0785 4.8690 -1.3229 -6.7823 -0.7281 8.4095 -2.0589 3.9004" Properties=species:S:1:pos:R:3 pbc="T T T"
La -1.8366 -4.8328 1.4087
La -2.5236 -2.5596 4.0899
La 5.4890 -3.0210 4.8620
La 2.8655 -6.9509 6.5393
La 2.4681 -5.3534 3.4120
La 1.7797 -3.0802 6.0963
La -0.6465 -6.0910 4.9104
La 0.5914 -1.8220 2.5905
Cu -3.3011 -6.5296 3.6705
Cu 3.2392 -1.3836 3.8449
N -1.3980 -2.5736 1.6555
N 1.3370 -5.3396 5.8580
```

Values from the calculation:
* ΔE_f (raw): -2.6 eV per formula unit
* Fermi-level density of states: 6.63 states/eV/f.u.
* final energy: -69.5 eV for the cell shown
* space group: Pmn2_1 (31)

***

What did the first record say?
Entry from Alexandria: a relaxed structure of LaCu2ReMo (PBE-GGA).

Cell and atoms, written as extended XYZ:
```
5
Lattice="4.7991 0.0000 0.0000 0.0000 4.7132 0.0000 0.0000 0.0000 4.7991" Properties=species:S:1:pos:R:3 pbc="T T T"
Re 0.0000 2.3566 0.0000
Mo 0.0000 0.0000 0.0000
Cu 0.0000 0.0000 2.3995
Cu 2.3995 0.0000 0.0000
La 2.3995 2.3566 2.3995
```

Values from the calculation:
* Fermi-level density of states: 6.63 states/eV/f.u.
* final energy: -32.4 eV for the cell shown
* ΔH_f (0 K): 3.98 eV per formula unit
* space group: P4/mmm (123)

***

Q: The lowest Fermi-level density of states belongs to which entry?
A: La2CuSiMo

***

Q: Among the records above, which one has the lowest final energy?
A: La4CuN